DFT (SCAN) results for Zr2FeOs at its PBEsol-relaxed geometry.

The density of states at the Fermi level is 1.77 states/eV/f.u. For the formation energy, the calculation gives -1.9 eV/f.u. As for the crystal system: tetragonal.

The structure belongs to space group P4/mmm (No. 123); the cell edges are 4.5124, 4.5124 and 3.2046 Å and the angles 90.00°, 90.00° and 90.00°. The inequivalent atoms are Zr at (0.0000, 0.5000, 0.0000), Fe at (0.0000, 0.0000, 0.5000) and Os at (0.5000, 0.5000, 0.5000).



DFT (SCAN) results for ScZn4Rh at its PBEsol-relaxed geometry.

For the formation energy, the calculation gives -3.5 eV/f.u. As for the crystal system: cubic.

The structure belongs to space group F-43m (No. 216); the cell edges are 6.9655, 6.9655 and 6.9655 Å and the angles 90.00°, 90.00° and 90.00°. The inequivalent atoms are Sc at (0.0000, 0.0000, 0.0000), Zn at (0.1243, 0.1243, 0.6243) and Rh at (0.2500, 0.2500, 0.2500).